# 1
Material: HoBe17Nb
Method: DFT, PBE-GGA
State: optimized geometry

Output
ΔE_f, kJ per mole of atoms: -16.6
Raw total energy, eV per atom: -4.277
V, Å³/atom: 9.45
Space-group type: No. 160

Unit cell a=5.681 b=5.681 c=5.681 alpha=82.89 beta=82.89 gamma=82.89
Sites, in units of the cell vectors:
1 Be 0.712 0.003 0.284
2 Be 0.162 0.654 0.654
3 Be 0.003 0.284 0.712
4 Be 0.004 0.004 0.498
5 Be 0.844 0.340 0.340
6 Be 0.654 0.654 0.162
7 Be 0.099 0.099 0.099
8 Be 0.712 0.284 0.003
9 Be 0.003 0.712 0.284
10 Be 0.907 0.907 0.907
11 Be 0.284 0.712 0.003
12 Be 0.654 0.162 0.654
13 Be 0.340 0.340 0.844
14 Be 0.498 0.004 0.004
15 Be 0.284 0.003 0.712
16 Be 0.004 0.498 0.004
17 Be 0.340 0.844 0.340
18 Ho 0.661 0.661 0.661
19 Nb 0.335 0.335 0.335



# 2
Material: SmHo7Cd4
Method: DFT, PBE-GGA
State: optimized geometry

Output
ΔE_f, kJ per mole of atoms: 1.2
Raw total energy, eV per atom: -3.356
V, Å³/atom: 28.61
Space-group type: No. 12

Unit cell a=5.690 b=8.981 c=7.863 alpha=69.99 beta=68.79 gamma=71.53
Sites, in units of the cell vectors:
1 Ho 0.206 0.120 0.468
2 Ho 0.928 0.414 0.729
3 Ho 0.794 0.880 0.532
4 Ho 0.263 0.693 0.782
5 Ho 0.072 0.586 0.271
6 Ho 0.500 0.000 0.000
7 Ho 0.737 0.307 0.218
8 Cd 0.682 0.659 0.977
9 Cd 0.318 0.341 0.023
10 Cd 0.542 0.288 0.629
11 Cd 0.458 0.712 0.371
12 Sm 0.000 0.000 0.000



# 3
Material: KLiAg3
Method: DFT, PBE-GGA
State: optimized geometry

Output
ΔE_f, kJ per mole of atoms: 86.7
Raw total energy, eV per atom: -1.414
V, Å³/atom: 38.97
Space-group type: No. 221
Distance to the lowest polymorph of the same formula, kJ/mol of atoms: 69.12

Unit cell a=5.797 b=5.797 c=5.797 alpha=90.00 beta=90.00 gamma=90.00
Sites, in units of the cell vectors:
1 Li 0.500 0.500 0.500
2 K 0.000 0.000 0.000
3 Ag 0.000 0.000 0.500
4 Ag 0.500 0.000 0.000
5 Ag 0.000 0.500 0.000



# 4
Material: KGa2Bi
Method: DFT, PBE-GGA
State: optimized geometry

Output
ΔE_f, kJ per mole of atoms: 13.7
Raw total energy, eV per atom: -2.616
V, Å³/atom: 41.95
Space-group type: No. 166

Unit cell a=4.503 b=4.503 c=9.904 alpha=76.86 beta=76.86 gamma=60.00
Sites, in units of the cell vectors:
1 Ga 0.117 0.117 0.648
2 Ga 0.883 0.883 0.352
3 K 0.000 0.000 0.000
4 Bi 0.500 0.500 0.500



# 5
Material: ErSc3P3
Method: DFT, PBE-GGA
State: optimized geometry

Output
ΔE_f, kJ per mole of atoms: -126.0
Raw total energy, eV per atom: -6.990
V, Å³/atom: 18.70
Space-group type: No. 198

Unit cell a=8.060 b=8.060 c=8.060 alpha=90.00 beta=90.00 gamma=90.00
Sites, in units of the cell vectors:
1 Sc 0.068 0.432 0.568
2 Sc 0.819 0.681 0.319
3 Sc 0.932 0.932 0.932
4 Sc 0.685 0.685 0.685
5 Sc 0.568 0.068 0.432
6 Sc 0.315 0.185 0.815
7 Sc 0.815 0.315 0.185
8 Sc 0.319 0.819 0.681
9 Sc 0.185 0.815 0.315
10 Sc 0.181 0.181 0.181
11 Sc 0.681 0.319 0.819
12 Sc 0.432 0.568 0.068
13 P 0.498 0.256 0.122
14 P 0.756 0.378 0.502
15 P 0.122 0.498 0.256
16 P 0.378 0.502 0.756
17 P 0.256 0.122 0.498
18 P 0.622 0.002 0.744
19 P 0.878 0.998 0.244
20 P 0.998 0.244 0.878
21 P 0.002 0.744 0.622
22 P 0.244 0.878 0.998
23 P 0.744 0.622 0.002
24 P 0.502 0.756 0.378
25 Er 0.067 0.567 0.933
26 Er 0.433 0.433 0.433
27 Er 0.567 0.933 0.067
28 Er 0.933 0.067 0.567



# 6
Material: Cs3TlRu
Method: DFT, PBE-GGA
State: optimized geometry

Output
ΔE_f, kJ per mole of atoms: 84.9
Raw total energy, eV per atom: -1.961
V, Å³/atom: 44.93
Space-group type: No. 221
Distance to the lowest polymorph of the same formula, kJ/mol of atoms: 0.00

Unit cell a=6.079 b=6.079 c=6.079 alpha=90.00 beta=90.00 gamma=90.00
Sites, in units of the cell vectors:
1 Cs 0.000 0.500 0.000
2 Cs 0.500 0.000 0.000
3 Cs 0.000 0.000 0.500
4 Ru 0.000 0.000 0.000
5 Tl 0.500 0.500 0.500



# 7
Material: GeIr2I
Method: DFT, PBE-GGA
State: optimized geometry

Output
Raw total energy, eV per atom: -5.400
V, Å³/atom: 22.40
Space-group type: No. 122
Distance to the lowest polymorph of the same formula, kJ/mol of atoms: 0.00

Unit cell a=5.059 b=5.059 c=7.862 alpha=71.23 beta=71.23 gamma=90.00
Sites, in units of the cell vectors:
1 Ir 0.167 0.625 0.250
2 Ir 0.375 0.417 0.750
3 Ir 0.583 0.125 0.250
4 Ir 0.875 0.833 0.750
5 Ge 0.500 0.500 0.000
6 Ge 0.250 0.750 0.500
7 I 0.750 0.250 0.500
8 I 0.000 0.000 0.000



# 8
Material: TlAsIr2
Method: DFT, PBE-GGA
State: optimized geometry

Output
ΔE_f, kJ per mole of atoms: 54.5
Raw total energy, eV per atom: -5.620
V, Å³/atom: 17.23
Space-group type: No. 225
Distance to the lowest polymorph of the same formula, kJ/mol of atoms: 30.95

Unit cell a=4.602 b=4.602 c=4.602 alpha=60.00 beta=60.00 gamma=60.00
Site moments in Bohr magnetons follow the coordinates.
Sites, in units of the cell vectors:
1 As 0.000 0.000 0.000  0.01
2 Ir 0.750 0.750 0.750  0.23
3 Ir 0.250 0.250 0.250  0.23
4 Tl 0.500 0.500 0.500  0.00